VASP calculation (GGA-PBE) on a relaxed LaSc2Ni crystal.

Structure (extended XYZ):
```
4
Lattice="5.9749 0.0140 0.0099 2.7206 5.3196 -0.0099 -3.7707 -3.6076 2.9098" Properties=species:S:1:pos:R:3 pbc="T T T"
Sc 0.4872 0.2988 0.0000
La 3.9553 2.4261 0.0000
Sc 3.2868 -0.4568 1.4598
Ni 1.5432 2.1246 1.4500
```

Output
**Offset from the most stable computed form**: 97.8 meV/atom
**Density**: 5175 kg/m³
**Calculated formation energy**: -0.42 eV/f.u.
**D(E_F)**: 4.1 states/eV/f.u.

---

VASP calculation (GGA-PBE) on a relaxed TbDyTm2 crystal.

Structure (extended XYZ):
```
4
Lattice="3.5427 0.0000 0.0000 1.7714 3.0681 0.0000 1.7714 1.0227 11.3117" Properties=species:S:1:pos:R:3 pbc="T T T"
Tm 1.7714 1.0227 2.8410
Tm 1.7714 1.0227 8.4746
Dy 3.5427 2.0454 5.6395
Tb 3.5427 2.0454 0.0125
```

Output
**Offset from the most stable computed form**: 6.0 meV/atom
**Density**: 8904 kg/m³
**Calculated formation energy**: 0.04 eV/f.u.
**D(E_F)**: 6.0 states/eV/f.u.

---

VASP calculation (GGA-PBE) on a relaxed Ca2Cd5Ag5 crystal.

Structure (extended XYZ):
```
12
Lattice="-0.7450 -4.6356 0.5540 0.5524 -0.7731 -5.7264 9.8648 -1.4483 1.1472" Properties=species:S:1:pos:R:3 pbc="T T T"
Ag 2.2395 -2.8758 -0.8792
Cd 3.5708 -0.8703 -2.4801
Ca 4.9324 -0.7242 0.5736
Cd -0.3725 -2.3178 0.2770
Ca 0.2762 -0.3865 -2.8632
Ag 4.8361 -3.4285 -2.0126
Cd 6.8465 -1.3512 -2.0991
Cd 1.7224 -0.2529 0.2003
Ag 7.1589 -3.5980 -0.3071
Cd 8.1424 -1.1955 0.9469
Ag 7.4328 -3.9813 -3.1460
Ag 2.5133 -3.2590 -3.7181
```

Output
**Offset from the most stable computed form**: 6.1 meV/atom
**Density**: 7124 kg/m³
**Calculated formation energy**: -2.36 eV/f.u.
**D(E_F)**: 4.0 states/eV/f.u.

---

VASP calculation (GGA-PBE) on a relaxed La8TlGe2 crystal.

Structure (extended XYZ):
```
11
Lattice="-5.5069 -0.5349 -1.6679 -0.1099 -4.3317 7.3165 0.6846 8.4550 0.5928" Properties=species:S:1:pos:R:3 pbc="T T T"
La -1.9673 1.6680 6.5879
Ge -2.8241 -0.5697 4.6340
La -4.0930 2.0598 3.4336
Tl -5.4725 -0.4831 -1.5654
La -4.9063 4.6070 0.0340
La -0.9274 1.6337 2.9974
Ge -2.5152 4.4006 2.0205
La -5.3222 -2.0853 3.5530
La -1.7811 4.6646 5.0122
La -2.8273 2.0878 -0.0877
La -3.0174 -0.9711 1.5207
```

Output
**Density**: 6957 kg/m³
**Calculated formation energy**: -4.14 eV/f.u.
**D(E_F)**: 10.7 states/eV/f.u.

---

VASP calculation (GGA-PBE) on a relaxed Tc2NiRu crystal.

Structure (extended XYZ):
```
4
Lattice="-2.5987 0.6371 -0.1786 -0.9194 -3.2586 1.7537 0.2773 2.4448 4.6883" Properties=species:S:1:pos:R:3 pbc="T T T"
Tc 0.0026 0.0231 0.0443
Ru -1.5511 0.5229 4.3038
Tc 0.1360 1.1993 2.2998
Ni -1.6898 -0.6995 1.9596
```

Output
**Offset from the most stable computed form**: 81.5 meV/atom
**Density**: 10912 kg/m³
**Calculated formation energy**: 0.13 eV/f.u.
**D(E_F)**: 4.5 states/eV/f.u.

---

VASP calculation (GGA-PBE) on a relaxed InCuHgPd2 crystal.

Structure (extended XYZ):
```
5
Lattice="-3.1443 1.9745 2.9772 -3.4851 -2.5980 -1.9577 0.8116 -3.4676 3.1569" Properties=species:S:1:pos:R:3 pbc="T T T"
Pd -1.5721 0.9872 1.4886
Hg -2.9089 -2.0456 2.0882
Pd 0.4058 -1.7338 1.5784
Cu 0.0000 0.0000 0.0000
In -1.7425 -1.2990 -0.9788
```

Output
**Density**: 9101 kg/m³
**Calculated formation energy**: 1.91 eV/f.u.
**D(E_F)**: 2.9 states/eV/f.u.